Compound: Dy3Sc3In2Co
Source: Alexandria via LeMat-Bulk
Functional: PBE
Structure: optimized geometry

Formation energy from the elements = -315.3 meV per atom
Space group = P-62m (189)
Calculated total energy = -5.3580 eV/atom

Cell: 3.726 8.327 8.327 Å, 120.00 90.00 90.00°
Element x y z (fractional)
Dy: 0.000 0.000 0.391
Dy: 0.000 0.609 0.609
Dy: 0.000 0.391 0.000
Sc: 0.500 0.774 0.000
Sc: 0.500 0.226 0.226
Sc: 0.500 0.000 0.774
In: 0.500 0.333 0.667
In: 0.500 0.667 0.333
Co: 0.000 0.000 0.000



Compound: SmDyInCo
Source: Alexandria via LeMat-Bulk
Functional: PBE
Structure: optimized geometry

Formation energy from the elements = -166.3 meV per atom
Space group = F-43m (216)
Calculated total energy = -4.9577 eV/atom

Cell: 5.144 5.144 5.144 Å, 60.00 60.00 60.00°
Each line ends with the local moment (μB).
Element x y z (fractional)
In: 0.000 0.000 0.000  0.05
Co: 0.500 0.500 0.500  1.48
Sm: 0.250 0.250 0.250  -0.09
Dy: 0.750 0.750 0.750  -0.13



Among the records above, which one has the highest calculated total energy?
SmDyInCo